The following is a DFT calculation (PBE) of a relaxed YPu2ScSe4 crystal.

Cell lengths 4.042, 6.993, 7.112 Å; angles 109.18, 90.00, 90.00 degrees
Site moments in Bohr magnetons follow the coordinates.
Positions (direct):
Y 0.500 0.500 0.000  0.04
Pu 0.500 0.000 0.500  5.46
Pu 0.000 0.500 0.500  5.53
Sc 0.000 0.000 0.000  0.06
Se 0.500 0.238 0.235  -0.04
Se 0.500 0.762 0.765  -0.04
Se 0.000 0.246 0.759  -0.04
Se 0.000 0.754 0.241  -0.04

ρ (g/cm³): 8.20
Raw total energy (eV per cell): -68.35
Calculated volume (Å³/atom): 23.73
Space group: P2/m
E_form (uncorrected) (eV/atom): -1.619